1.
The following is a DFT calculation (PBE) of crystalline Pr8Zn2Hg at its relaxed geometry.

Unit cell a=5.1561 b=7.7357 c=9.4774 alpha=109.47 beta=105.78 gamma=90.00
With the nearest neighbours (Å) after each atom.
Sites, in units of the cell vectors:
Pr  0.4100  0.5403  0.8200  2 Zn 3.27, 1 Hg 3.36, 5 Pr 3.48-3.65
Pr  0.6736  0.9688  0.3472  1 Zn 2.99, 1 Hg 3.26
Pr  0.8069  0.6991  0.6138  3 Zn 3.00-3.35
Pr  0.9651  0.2367  0.9301  1 Zn 3.05, 2 Hg 3.35
Pr  0.1931  0.3009  0.3862  3 Zn 3.00-3.35
Pr  0.3264  0.0312  0.6528  1 Zn 2.99, 1 Hg 3.26
Pr  0.5900  0.4597  0.1800  2 Zn 3.27, 1 Hg 3.36, 5 Pr 3.48-3.65
Pr  0.0349  0.7633  0.0699  1 Zn 3.05, 2 Hg 3.35
Zn  0.8128  0.3163  0.6257  5 Pr 2.99-3.27
Zn  0.1872  0.6837  0.3743  5 Pr 2.99-3.27
Hg  0.5000  0.0000  0.0000  8 Pr 3.26-3.36

DFT total energy	-3.89	eV/atom
calculated formation energy	-154	meV/atom
total magnetic moment	0.00	Bohr magnetons per cell
offset from the most stable computed form	0	kJ/mol of formula units



2.
The following is a DFT calculation (PBE) of crystalline K3Sb4Au2 at its relaxed geometry.

Unit cell a=4.6920 b=7.1855 c=11.9090 alpha=55.39 beta=78.64 gamma=70.94
With the nearest neighbours (Å) after each atom.
Sites, in units of the cell vectors:
K  0.3415  0.6640  0.6529  7 Sb 3.63-3.84, 4 Au 3.67-4.04
K  0.0000  0.0000  0.0000  4 Sb 3.58-3.88, 4 Au 3.77
K  0.6585  0.3360  0.3471  7 Sb 3.63-3.84, 4 Au 3.67-4.04
Sb  0.2525  0.4047  0.0903  1 Au 2.70, 2 Sb 2.94
Sb  0.7475  0.5953  0.9097  1 Au 2.70, 2 Sb 2.94
Sb  0.0648  0.2595  0.6110  2 Au 2.68, 1 Sb 2.86
Sb  0.9352  0.7405  0.3890  2 Au 2.68, 1 Sb 2.86
Au  0.3966  0.9360  0.2708  3 Sb 2.68-2.70
Au  0.6034  0.0640  0.7292  3 Sb 2.68-2.70

DFT total energy	-3.29	eV/atom
total magnetic moment	0.00	Bohr magnetons per cell
offset from the most stable computed form	0	kJ/mol of formula units
formation energy from raw total energies	-0.37	eV per atom



3.
The following is a DFT calculation (PBE) of crystalline MgZnAs2 at its relaxed geometry.

Unit cell a=4.6021 b=4.6021 c=3.9826 alpha=78.03 beta=78.03 gamma=102.08
With the nearest neighbours (Å) after each atom.
Sites, in units of the cell vectors:
As  0.0000  0.0000  0.0000  2 Zn 2.71, 2 Mg 2.71, 2 As 2.89
As  0.5000  0.5000  0.0000  2 Mg 2.71, 2 Zn 2.71, 2 As 2.89
Mg  0.5000  0.0000  0.5000  4 As 2.71, 2 Zn 2.89
Zn  0.0000  0.5000  0.5000  4 As 2.71, 2 Mg 2.89

DFT total energy	-3.11	eV/atom
calculated formation energy	-64	meV/atom
total magnetic moment	0.00	Bohr magnetons per cell
offset from the most stable computed form	14	kJ/mol of formula units



4.
The following is a DFT calculation (PBE) of crystalline TlAsSe at its relaxed geometry.

Unit cell a=7.9216 b=7.3185 c=3.9081 alpha=83.90 beta=66.73 gamma=29.38
With the nearest neighbours (Å) after each atom.
Sites, in units of the cell vectors:
Tl  0.6655  0.6655  0.3345  2 As 3.19, 2 Se 3.23, 2 Tl 3.49
As  0.9778  0.9778  0.0222  2 Se 2.45
Se  0.3567  0.3567  0.6433  2 As 2.45

DFT total energy	-3.33	eV/atom
total magnetic moment	0.00	Bohr magnetons per cell
offset from the most stable computed form	51	kJ/mol of formula units
formation energy from raw total energies	0.17	eV per atom



Q: Which formula does entry 4 have?
A: TlAsSe